! La6ZnCl5 | Alexandria via LeMat-Bulk | PBE | optimized geometry; values from VASP
! Total DFT energy (no corrections): -4.69 eV/atom
! V: 26.37 Å³ per atom
! E_form (uncorrected): -16.160 eV per formula unit
! D(E_F): 8.84 states/eV/cell
! Total moment: 0.00 μB per atom
! Symmetry: C2/m, No. 12
&SYSTEM
  ibrav = 0, nat = 12, ntyp = 3
/
ATOMIC_SPECIES
Zn 65.41 Zn.upf
Cl 35.45 Cl.upf
La 138.91 La.upf
ATOMIC_POSITIONS angstrom
Zn 0.000 0.000 0.000
Cl -1.030 -4.622 3.800
Cl -1.332 -3.867 -0.503
Cl 2.381 -3.182 1.640
Cl 2.018 -2.453 -2.624
Cl 5.792 -1.743 -0.520
La 1.911 -5.462 3.548
La -0.493 -2.314 1.849
La 1.469 -4.655 -0.783
La 3.293 -1.709 4.062
La 5.255 -4.051 1.430
La 2.851 -0.902 -0.268
CELL_PARAMETERS angstrom
-4.589 -5.241 1.559
5.276 -1.078 -4.687
4.076 -0.045 6.407